DFT (PBE) results for UAu6 after structural relaxation.

a = 7.3976 Å, b = 7.3976 Å, c = 7.3976 Å
α = 90.00°, β = 90.00°, γ = 90.00°
Last column: nearest neighbours and their distance in Å.
Element x y z (fractional)
U 0.0000 0.0000 0.0000  24 Au 4.14
U 0.5000 0.5000 0.5000  24 Au 4.14
Au 0.0000 0.2500 0.5000  4 Au 2.62
Au 0.0000 0.5000 0.2500  4 Au 2.62
Au 0.0000 0.5000 0.7500  4 Au 2.62
Au 0.0000 0.7500 0.5000  4 Au 2.62
Au 0.2500 0.0000 0.5000  4 Au 2.62
Au 0.2500 0.5000 0.0000  4 Au 2.62
Au 0.5000 0.0000 0.2500  4 Au 2.62
Au 0.5000 0.0000 0.7500  4 Au 2.62
Au 0.5000 0.2500 0.0000  4 Au 2.62
Au 0.5000 0.7500 0.0000  4 Au 2.62
Au 0.7500 0.0000 0.5000  4 Au 2.62
Au 0.7500 0.5000 0.0000  4 Au 2.62

Calculated values
As for the space-group type: No. 229. Its volume is 28.9 Å³/atom. The value obtained for the formation energy is 4.985 eV per formula unit. As for the calculated total energy: -0.13633 Ha/atom.